(1)
Crystalline NaPmDy at its relaxed geometry. Source: OQMD via LeMat-Bulk, functional GGA-PBE.

Cell and atoms, written as POSCAR:
```
NaPmDy
1.0
0.0000 3.7810 3.7810
3.7810 0.0000 3.7810
3.7810 3.7810 0.0000
Na Pm Dy
1 1 1
Cartesian
0.0000 0.0000 0.0000
1.8905 1.8905 1.8905
5.6714 5.6714 5.6714
```

symmetry = No. 216

=====

(2)
Crystalline NaPrDy at its relaxed geometry. Source: OQMD via LeMat-Bulk, functional GGA-PBE.

Cell and atoms, written as POSCAR:
```
NaPrDy
1.0
0.0000 3.8036 3.8036
3.8036 0.0000 3.8036
3.8036 3.8036 0.0000
Na Pr Dy
1 1 1
Cartesian
0.0000 0.0000 0.0000
1.9018 1.9018 1.9018
5.7054 5.7054 5.7054
```

symmetry = No. 216

=====

(3)
Crystalline NaDyPt at its relaxed geometry. Source: OQMD via LeMat-Bulk, functional GGA-PBE.

Cell and atoms, written as POSCAR:
```
NaDyPt
1.0
0.0000 3.3589 3.3589
3.3589 0.0000 3.3589
3.3589 3.3589 0.0000
Na Dy Pt
1 1 1
Cartesian
0.0000 0.0000 0.0000
3.3589 3.3589 3.3589
5.0384 5.0384 5.0384
```

symmetry = No. 216

=====

The records above yield VASP energy values of -2.761; -2.800; -4.538 eV/atom, respectively.
The records above yield distance to the lowest polymorph of the same formula values of 0.00; 0.00; 0.00 eV per formula unit, respectively.